1.
The following is a DFT calculation (PBE) of a relaxed structure of Nb3VC.

Values from the calculation:
- ΔE to the lowest computed polymorph (eV/atom) = 0.179
- uncorrected energy (eV per cell) = -48.4
- calculated volume (Å³ per cell) = 79.57
- total magnetic moment (μB per cell) = 0.020
- formation enthalpy at 0 K (eV/atom) = 0.026

Cell: 4.3011 4.3011 4.3011 Å, 90.00 90.00 90.00°
With the nearest neighbours (Å) after each atom.
Atoms (fractional coordinates):
Nb 0.0000 0.0000 0.5000  2 C 2.15
Nb 0.0000 0.5000 0.0000  2 C 2.15
Nb 0.5000 0.0000 0.0000  2 C 2.15
V 0.5000 0.5000 0.5000  12 Nb 3.04
C 0.0000 0.0000 0.0000  6 Nb 2.15

***

2.
The following is a DFT calculation (PBE) of a relaxed structure of NbVC2.

Values from the calculation:
- uncorrected energy (eV per cell) = -38.9
- calculated volume (Å³ per cell) = 41.83
- total magnetic moment (μB per cell) = 0.000
- formation enthalpy at 0 K (eV/atom) = -0.323

Cell: 5.4892 5.4892 5.4892 Å, 32.24 32.24 32.24°
With the nearest neighbours (Å) after each atom.
Atoms (fractional coordinates):
Nb 0.0000 0.0000 0.0000  6 C 2.20-2.28
V 0.1789 0.1789 0.1789  6 C 2.07-2.21
C 0.4261 0.4261 0.4261  3 V 2.21, 3 Nb 2.28, 1 C 2.43
C 0.5822 0.5822 0.5822  3 V 2.07, 3 Nb 2.20

***

3.
The following is a DFT calculation (PBE) of a relaxed structure of Nb3V3C.

Values from the calculation:
- uncorrected energy (eV per cell) = -273.5
- calculated volume (Å³ per cell) = 408.31
- total magnetic moment (μB per cell) = 0.000
- formation enthalpy at 0 K (eV/atom) = -0.226

Cell: 8.3273 8.3273 8.3273 Å, 60.00 60.00 60.00°
With the nearest neighbours (Å) after each atom.
Atoms (fractional coordinates):
Nb 0.0639 0.0639 0.6861  2 C 2.21
Nb 0.0639 0.6861 0.0639  2 C 2.21
Nb 0.0639 0.6861 0.6861  2 C 2.21
Nb 0.3139 0.3139 0.9361  2 C 2.21
Nb 0.3139 0.9361 0.3139  2 C 2.21
Nb 0.3139 0.9361 0.9361  2 C 2.21
Nb 0.6861 0.0639 0.0639  2 C 2.21
Nb 0.6861 0.0639 0.6861  2 C 2.21
Nb 0.6861 0.6861 0.0639  2 C 2.21
Nb 0.9361 0.3139 0.3139  2 C 2.21
Nb 0.9361 0.3139 0.9361  2 C 2.21
Nb 0.9361 0.9361 0.3139  2 C 2.21
V 0.0000 0.5000 0.5000  6 V 2.54
V 0.2938 0.2938 0.2938  6 V 2.54-2.70, 3 Nb 2.82
V 0.2938 0.2938 0.6185  6 V 2.54-2.70, 3 Nb 2.82
V 0.2938 0.6185 0.2938  6 V 2.54-2.70, 3 Nb 2.82
V 0.3815 0.7062 0.7062  6 V 2.54-2.70, 3 Nb 2.82
V 0.5000 0.0000 0.5000  6 V 2.54
V 0.5000 0.5000 0.0000  6 V 2.54
V 0.5000 0.5000 0.5000  6 V 2.54
V 0.6185 0.2938 0.2938  6 V 2.54-2.70, 3 Nb 2.82
V 0.7062 0.3815 0.7062  6 V 2.54-2.70, 3 Nb 2.82
V 0.7062 0.7062 0.3815  6 V 2.54-2.70, 3 Nb 2.82
V 0.7062 0.7062 0.7062  6 V 2.54-2.70, 3 Nb 2.82
C 0.0000 0.0000 0.0000  6 Nb 2.21
C 0.0000 0.0000 0.5000  6 Nb 2.21
C 0.0000 0.5000 0.0000  6 Nb 2.21
C 0.5000 0.0000 0.0000  6 Nb 2.21